Entry 1:
PmScPb | the Alexandria database | PBE | optimized geometry; energy = -5.0236 eV/atom; polymorph energy (0 for the lowest one) = 369 meV/atom; DFT formation energy = -93 meV per atom; N(E_F) = 1.14 states/eV per atom
1.0
-2.626 -2.333 2.563
4.080 -3.030 5.110
-4.919 4.497 2.743
Pm Pb Sc
2 2 2
direct
0.500 0.335 0.665 Pm
0.500 0.665 0.335 Pm
0.247 0.253 0.253 Pb
0.753 0.747 0.747 Pb
0.000 0.882 0.118 Sc
0.000 0.118 0.882 Sc

Entry 2:
PmScPb2 | the Alexandria database | PBE | optimized geometry; energy = -5.0669 eV/atom; DFT formation energy = -442 meV per atom; N(E_F) = 0.66 states/eV per atom
1.0
-0.003 -2.291 4.054
5.610 -2.714 -1.530
0.696 7.264 4.106
Sc Pm Pb
2 2 4
direct
0.250 0.199 0.600 Sc
0.750 0.801 0.400 Sc
0.250 0.309 0.111 Pm
0.750 0.691 0.889 Pm
0.250 0.840 0.179 Pb
0.750 0.160 0.821 Pb
0.250 0.698 0.608 Pb
0.750 0.302 0.392 Pb

Entry 3:
PmScPb | the Alexandria database | PBE | optimized geometry; energy = -5.2201 eV/atom; polymorph energy (0 for the lowest one) = 173 meV/atom; DFT formation energy = -290 meV per atom; N(E_F) = 0.49 states/eV per atom
1.0
-1.291 2.509 2.907
2.785 -2.432 3.336
1.908 3.867 -2.491
Pb Sc Pm
1 1 1
direct
0.833 0.667 0.333 Pb
0.833 0.000 0.000 Sc
0.333 0.333 0.667 Pm

Entry 4:
Pm4ScPb4 | the Alexandria database | PBE | optimized geometry; energy = -4.5563 eV/atom; DFT formation energy = -93 meV per atom; N(E_F) = 1.06 states/eV per atom
1.0
8.281 0.000 0.000
0.000 8.281 0.000
-4.140 -4.140 4.541
Pm Pb Sc
4 4 1
direct
0.674 0.674 0.348 Pm
0.000 0.500 0.000 Pm
0.326 0.326 0.652 Pm
0.500 0.000 0.000 Pm
0.900 0.374 0.274 Pb
0.626 0.626 0.726 Pb
0.100 0.100 0.726 Pb
0.374 0.900 0.274 Pb
0.000 0.000 0.000 Sc

Entry 5:
PmSc2Pb2 | the Alexandria database | PBE | optimized geometry; energy = -5.3026 eV/atom; DFT formation energy = -337 meV per atom; N(E_F) = 1.08 states/eV per atom
1.0
-0.798 -3.588 2.690
-2.430 -1.951 -3.323
7.204 -0.226 -2.020
Sc Pm Pb
2 1 2
direct
0.750 0.250 0.500 Sc
0.250 0.750 0.500 Sc
0.000 0.000 0.000 Pm
0.391 0.391 0.781 Pb
0.609 0.609 0.219 Pb

Entry 6:
Pm7ScPb4 | the Alexandria database | PBE | optimized geometry; energy = -4.6750 eV/atom; DFT formation energy = -140 meV per atom; N(E_F) = 0.92 states/eV per atom
1.0
5.869 0.000 0.000
2.935 8.978 0.425
2.935 0.700 7.380
Pm Sc Pb
7 1 4
direct
0.205 0.108 0.482 Pm
0.500 0.000 0.000 Pm
0.057 0.625 0.260 Pm
0.289 0.644 0.779 Pm
0.711 0.356 0.221 Pm
0.943 0.375 0.740 Pm
0.795 0.892 0.518 Pm
0.000 0.000 0.000 Sc
0.698 0.670 0.935 Pb
0.438 0.754 0.370 Pb
0.562 0.246 0.630 Pb
0.302 0.330 0.065 Pb

The highest N(E_F) belongs to which entry?
number 1

What did the second record say?
PmScPb2 | the Alexandria database | PBE | optimized geometry; energy = -5.0669 eV/atom; DFT formation energy = -442 meV per atom; N(E_F) = 0.66 states/eV per atom
1.0
-0.003 -2.291 4.054
5.610 -2.714 -1.530
0.696 7.264 4.106
Sc Pm Pb
2 2 4
direct
0.250 0.199 0.600 Sc
0.750 0.801 0.400 Sc
0.250 0.309 0.111 Pm
0.750 0.691 0.889 Pm
0.250 0.840 0.179 Pb
0.750 0.160 0.821 Pb
0.250 0.698 0.608 Pb
0.750 0.302 0.392 Pb

The highest energy belongs to which entry?
Pm4ScPb4

Among the records above, which one has the highest N(E_F)?
number 1